## w
Here is a relaxed Y2Ho3Sc3 crystal from Alexandria via LeMat-Bulk. Energies are from GGA-PBE. Values from VASP.

Quantum ESPRESSO input file:
```
&SYSTEM
  ibrav = 0, nat = 8, ntyp = 3
/
ATOMIC_SPECIES
Ho 164.93 Ho.upf
Y 88.91 Y.upf
Sc 44.96 Sc.upf
ATOMIC_POSITIONS angstrom
Ho 1.5243 -6.6943 2.7431
Ho -1.4416 -3.5722 -1.5799
Ho -2.3214 -0.6026 -0.1807
Y 1.4042 -5.2725 -0.4555
Y -1.3215 -4.9939 1.6187
Sc -0.4092 -8.1064 0.2781
Sc 0.4918 -2.1601 0.8851
Sc 0.3951 -0.8408 -2.2714
CELL_PARAMETERS angstrom
-4.6428 -1.2052 -0.3614
0.7902 -1.6816 -4.5429
3.9353 -7.3796 6.0675
```

Its theoretical density is 5.828 g/cm³.



## x
Here is a relaxed Y2Ho3Sc3 crystal from Alexandria via LeMat-Bulk. Energies are from GGA-PBE. Values from VASP.

Quantum ESPRESSO input file:
```
&SYSTEM
  ibrav = 0, nat = 8, ntyp = 3
/
ATOMIC_SPECIES
Ho 164.93 Ho.upf
Sc 44.96 Sc.upf
Y 88.91 Y.upf
ATOMIC_POSITIONS angstrom
Ho -3.7332 0.7033 0.2525
Ho -6.9134 -0.7470 0.2459
Ho -4.8784 -0.9847 -2.5858
Sc -1.3504 -0.9798 -0.8882
Sc -3.3881 1.5987 -3.5432
Sc -5.6116 -1.3046 3.0398
Y -6.3072 2.1447 -1.7183
Y -4.0428 -2.8303 0.3268
CELL_PARAMETERS angstrom
-4.3456 3.6708 2.5578
-3.1102 0.9974 -5.3134
-2.8942 -5.3539 1.3641
```

Its theoretical density is 5.594 g/cm³.



w comes first in stability; the runner-up is 0.186 eV/atom higher.



## w
Here is a relaxed YHo5Sc crystal from Alexandria via LeMat-Bulk. Energies are from GGA-PBE. Values from VASP.

Quantum ESPRESSO input file:
```
&SYSTEM
  ibrav = 0, nat = 14, ntyp = 3
/
ATOMIC_SPECIES
Ho 164.93 Ho.upf
Y 88.91 Y.upf
Sc 44.96 Sc.upf
ATOMIC_POSITIONS angstrom
Ho 2.8231 2.1618 0.9100
Ho 2.8228 3.0923 4.2802
Ho 4.6576 3.8584 7.0867
Ho 0.9175 4.7141 6.8556
Ho 0.7434 0.8483 3.0884
Ho 6.7373 2.5449 9.2651
Ho 0.9172 5.6447 10.2258
Ho 4.6578 4.7889 10.4569
Ho -0.9172 3.9481 4.0491
Ho -0.9175 3.0176 0.6789
Y 2.2920 2.5449 9.2651
Y 5.1886 0.8483 3.0884
Sc 0.0000 1.6966 6.1768
Sc 0.0000 0.0000 0.0000
CELL_PARAMETERS angstrom
7.4807 0.0000 0.0000
-3.7403 4.4133 -1.2177
0.0000 3.3932 12.3535
```

Its theoretical density is 7.255 g/cm³.



## x
Here is a relaxed YHo5Sc crystal from Alexandria via LeMat-Bulk. Energies are from GGA-PBE. Values from VASP.

Quantum ESPRESSO input file:
```
&SYSTEM
  ibrav = 0, nat = 7, ntyp = 3
/
ATOMIC_SPECIES
Ho 164.93 Ho.upf
Y 88.91 Y.upf
Sc 44.96 Sc.upf
ATOMIC_POSITIONS angstrom
Ho 5.6792 6.2226 1.7123
Ho 2.8396 4.5100 3.7642
Ho 5.6792 2.3345 1.9485
Ho 5.6792 6.6854 5.5799
Ho 5.6792 2.7974 5.8161
Y 0.0000 0.0000 0.0000
Sc 5.6792 4.5100 3.7642
CELL_PARAMETERS angstrom
5.6792 0.0000 0.0000
2.8396 7.2088 0.5307
2.8396 1.8112 6.9977
```

Its theoretical density is 5.664 g/cm³.



w comes first in stability; the runner-up is 0.869 eV/atom higher.



## w
Here is a relaxed Y4HoSc5 crystal from Alexandria via LeMat-Bulk. Energies are from GGA-PBE. Values from VASP.

Quantum ESPRESSO input file:
```
&SYSTEM
  ibrav = 0, nat = 10, ntyp = 3
/
ATOMIC_SPECIES
Y 88.91 Y.upf
Sc 44.96 Sc.upf
Ho 164.93 Ho.upf
ATOMIC_POSITIONS angstrom
Y 0.1901 3.0281 0.7838
Y 1.3994 1.3780 5.6887
Y 1.6475 8.2018 -0.3853
Y 2.8569 6.5517 4.5196
Sc 2.3469 9.1330 2.4588
Sc 0.4984 6.1261 2.0151
Sc 1.3791 5.3139 -1.4666
Sc 2.5485 3.4537 3.2883
Sc 0.7000 0.4469 2.8445
Ho 1.6422 0.0015 -0.4045
CELL_PARAMETERS angstrom
3.2844 0.0030 -0.8090
-0.5261 10.6247 -2.1243
0.2887 -1.0479 8.2366
```

Its theoretical density is 4.386 g/cm³.



## x
Here is a relaxed Y4HoSc5 crystal from Alexandria via LeMat-Bulk. Energies are from GGA-PBE. Values from VASP.

Quantum ESPRESSO input file:
```
&SYSTEM
  ibrav = 0, nat = 10, ntyp = 3
/
ATOMIC_SPECIES
Y 88.91 Y.upf
Sc 44.96 Sc.upf
Ho 164.93 Ho.upf
ATOMIC_POSITIONS angstrom
Y 5.3844 2.2965 4.9126
Y 5.3844 4.9126 2.2965
Y 8.1907 4.9126 4.9126
Y 2.5780 2.2964 2.2965
Sc 2.4806 4.4810 0.0000
Sc 5.2870 7.2090 4.4810
Sc 5.2870 0.0000 2.7281
Sc 8.0933 2.7281 7.2090
Sc 3.8902 0.0000 0.0000
Ho 1.1902 0.0000 0.0000
CELL_PARAMETERS angstrom
5.6127 0.0000 0.0000
2.8064 7.2091 0.0000
2.8064 0.0000 7.2091
```

Its theoretical density is 4.243 g/cm³.



w comes first in stability; the runner-up is 0.138 eV/atom higher.



## w
Here is a relaxed Y5Ho2Sc2 crystal from Alexandria via LeMat-Bulk. Energies are from GGA-PBE. Values from VASP.

Quantum ESPRESSO input file:
```
&SYSTEM
  ibrav = 0, nat = 18, ntyp = 3
/
ATOMIC_SPECIES
Ho 164.93 Ho.upf
Y 88.91 Y.upf
Sc 44.96 Sc.upf
ATOMIC_POSITIONS angstrom
Ho -3.3810 -3.6656 -2.1611
Ho -6.6440 -0.4274 -3.8031
Ho -3.1513 3.6386 -0.8276
Ho -0.0374 -0.0241 0.0199
Y -5.9533 2.8112 -2.7892
Y -3.9823 1.3078 -5.1637
Y -6.5419 -1.3393 -0.4057
Y -3.8818 0.3568 -1.8670
Y -6.5095 -3.9658 -3.5880
Y -3.8989 -2.4108 -5.3134
Y -5.9474 5.4624 0.3726
Y -3.2772 4.5527 -4.1655
Y -5.8445 1.8831 0.5499
Y -3.2218 7.3450 -0.7395
Sc -8.5787 4.1860 -1.8779
Sc -1.2006 -0.9646 -2.7612
Sc -6.2304 4.9947 -5.0005
Sc -3.5490 -1.7733 0.3614
CELL_PARAMETERS angstrom
-1.3510 -3.8455 -7.1995
-5.3362 -3.4376 2.8375
-2.6755 10.7730 -0.4987
```

Its theoretical density is 5.139 g/cm³.



## x
Here is a relaxed Y5Ho2Sc2 crystal from Alexandria via LeMat-Bulk. Energies are from GGA-PBE. Values from VASP.

Quantum ESPRESSO input file:
```
&SYSTEM
  ibrav = 0, nat = 9, ntyp = 3
/
ATOMIC_SPECIES
Y 88.91 Y.upf
Sc 44.96 Sc.upf
Ho 164.93 Ho.upf
ATOMIC_POSITIONS angstrom
Y 10.5771 -9.0007 -0.0213
Y 0.8603 -4.8469 -0.4203
Y 7.1419 -9.2097 -3.5494
Y 4.2956 -4.6379 3.1078
Y 0.0000 0.0000 0.0000
Sc 6.4680 -6.5330 1.2458
Sc 4.9695 -7.3146 -1.6873
Ho 4.4206 -4.2802 -0.3509
Ho 7.0168 -9.5674 -0.0907
CELL_PARAMETERS angstrom
-1.3174 -2.9419 1.4570
5.0052 -6.9283 -5.1691
7.7496 -3.9774 3.2705
```

Its theoretical density is 5.273 g/cm³.



x comes first in stability; the runner-up is 0.192 eV/atom higher.



## w
Here is a relaxed Y6Ho8Sc crystal from Alexandria via LeMat-Bulk. Energies are from GGA-PBE. Values from VASP.

Quantum ESPRESSO input file:
```
&SYSTEM
  ibrav = 0, nat = 15, ntyp = 3
/
ATOMIC_SPECIES
Ho 164.93 Ho.upf
Y 88.91 Y.upf
Sc 44.96 Sc.upf
ATOMIC_POSITIONS angstrom
Ho -9.2202 -8.8055 1.6752
Ho -6.4626 -8.7804 3.6682
Ho -5.4943 -8.9706 0.7197
Ho -7.2705 -6.0862 1.0393
Ho -4.6865 -11.6648 3.3486
Ho -4.5164 -6.0605 3.0428
Ho -2.7368 -8.9456 2.7127
Ho -7.4406 -11.6906 1.3451
Y -7.3767 -13.7125 4.7566
Y -2.1928 -6.4192 0.5690
Y -1.3818 -3.0153 0.6157
Y -4.5803 -4.0386 -0.3687
Y -9.7642 -11.3319 3.8189
Y -10.5752 -14.7358 3.7722
Sc 0.0000 0.0000 0.0000
CELL_PARAMETERS angstrom
-7.3925 -4.6536 -2.1275
0.0128 -8.9717 0.5831
-4.5773 -4.1258 5.9324
```

Its theoretical density is 6.622 g/cm³.



## x
Here is a relaxed Y6Ho8Sc crystal from Alexandria via LeMat-Bulk. Energies are from GGA-PBE. Values from VASP.

Quantum ESPRESSO input file:
```
&SYSTEM
  ibrav = 0, nat = 15, ntyp = 3
/
ATOMIC_SPECIES
Ho 164.93 Ho.upf
Y 88.91 Y.upf
Sc 44.96 Sc.upf
ATOMIC_POSITIONS angstrom
Ho -2.7609 5.5701 5.9635
Ho -3.0874 2.0418 7.6534
Ho -0.5126 6.2571 3.4369
Ho 2.2061 8.2919 4.0524
Ho -3.5730 0.7167 4.5040
Ho -1.3247 1.4037 1.9774
Ho -6.2917 -1.3181 3.8885
Ho -0.9983 4.9320 0.2875
Y 1.5810 3.5986 2.0961
Y -5.6667 3.3752 5.8448
Y -0.7282 2.9861 5.0188
Y 2.3203 5.1706 5.4475
Y -6.4060 1.8032 2.4934
Y -3.3575 3.9877 2.9221
Sc -1.5489 2.3067 -0.7403
CELL_PARAMETERS angstrom
-3.0977 4.6134 -1.4806
-7.5658 -3.4352 5.1255
6.5779 5.7956 4.2960
```

Its theoretical density is 6.639 g/cm³.



w comes first in stability; the runner-up is 0.025 eV/atom higher.



## w
Here is a relaxed Y4HoSc crystal from Alexandria via LeMat-Bulk. Energies are from GGA-PBE. Values from VASP.

Quantum ESPRESSO input file:
```
&SYSTEM
  ibrav = 0, nat = 12, ntyp = 3
/
ATOMIC_SPECIES
Y 88.91 Y.upf
Sc 44.96 Sc.upf
Ho 164.93 Ho.upf
ATOMIC_POSITIONS angstrom
Y 5.0495 -0.7920 3.4518
Y 2.6332 1.6036 5.2007
Y 0.0366 3.7498 6.4041
Y -0.9668 5.5355 1.9681
Y -0.1971 6.9276 4.9973
Y 1.8635 0.2115 2.1715
Y 1.6298 3.3893 0.7647
Y -3.3831 7.9311 3.7170
Sc 3.5184 1.3278 8.7875
Sc -1.8520 5.8113 -1.6187
Ho -1.4786 2.6274 -0.1917
Ho 3.1450 4.5117 7.3605
CELL_PARAMETERS angstrom
5.6852 -3.1380 0.0948
-6.4131 9.5425 -2.8689
2.3944 0.7346 9.9429
```

Its theoretical density is 5.073 g/cm³.



## x
Here is a relaxed Y4HoSc crystal from Alexandria via LeMat-Bulk. Energies are from GGA-PBE. Values from VASP.

Quantum ESPRESSO input file:
```
&SYSTEM
  ibrav = 0, nat = 12, ntyp = 3
/
ATOMIC_SPECIES
Y 88.91 Y.upf
Sc 44.96 Sc.upf
Ho 164.93 Ho.upf
ATOMIC_POSITIONS angstrom
Y -2.0870 5.5076 1.3076
Y -7.8267 2.4614 2.1927
Y -5.1874 6.1953 0.9136
Y -2.9347 2.2971 0.1396
Y -6.0351 2.9848 -0.2543
Y -6.4758 7.4090 -1.9206
Y -0.2955 6.0310 -1.1394
Y -1.6463 1.0834 2.9738
Sc 0.0000 0.0000 0.0000
Sc -5.1497 0.2291 2.0248
Ho -3.5515 5.0570 -2.0815
Ho 0.5790 3.2064 1.1100
CELL_PARAMETERS angstrom
-9.2802 2.0797 -1.1667
-1.0192 -1.6215 5.2164
2.1772 8.0342 -2.9963
```

Its theoretical density is 5.124 g/cm³.



w comes first in stability; the runner-up is 0.046 eV/atom higher.